No. 1
Here is a crystal of YMn2CdOs relaxed with PBEsol from the Alexandria database. Energies are from SCAN.

Summary:
DOS at the Fermi energy	0.6963	states/eV per atom
energy relative to the elements	1.710	eV per atom
energy	-31.620	eV per atom
SG	No. 123

```
5
Lattice="-3.883 0.598 2.761 -0.205 -4.674 0.725 2.778 0.469 3.805" Properties=species:S:1:pos:R:3 pbc="T T T"
Mn -0.102 -2.337 0.363
Mn 1.389 0.234 1.902
Y 0.000 0.000 0.000
Cd -0.655 -1.803 3.646
Os -1.941 0.299 1.380
```



No. 2
Here is a crystal of MnCd2P relaxed with PBEsol from the Alexandria database. Energies are from SCAN.

Summary:
DOS at the Fermi energy	0.4061	states/eV per atom
energy relative to the elements	0.055	eV per atom
energy	-22.316	eV per atom
SG	No. 6

```
4
Lattice="2.944 0.000 -0.025 0.000 2.913 0.000 -1.408 0.000 7.513" Properties=species:S:1:pos:R:3 pbc="T T T"
Cd 0.938 1.457 2.165
Cd 0.994 0.000 7.366
Mn -0.522 0.000 4.159
P 0.958 1.457 5.041
```



No. 3
Here is a crystal of Mn2CdP relaxed with PBEsol from the Alexandria database. Energies are from SCAN.

Summary:
DOS at the Fermi energy	0.5131	states/eV per atom
energy relative to the elements	-0.077	eV per atom
relative energy among the computed polymorphs	25	meV/atom
energy	-19.407	eV per atom
SG	No. 123

```
4
Lattice="2.790 0.000 0.000 0.000 2.790 0.000 0.000 0.000 6.610" Properties=species:S:1:pos:R:3 pbc="T T T"
Mn 0.000 0.000 5.381
Mn 0.000 0.000 1.230
Cd 1.395 1.395 3.305
P 1.395 1.395 0.000
```



No. 4
Here is a crystal of Mn2CdP relaxed with PBEsol from the Alexandria database. Energies are from SCAN.

Summary:
DOS at the Fermi energy	0.5073	states/eV per atom
energy relative to the elements	-0.101	eV per atom
relative energy among the computed polymorphs	0	meV/atom
energy	-19.432	eV per atom
SG	No. 44

```
4
Lattice="-0.441 -1.916 -2.013 1.286 -2.149 1.764 -6.383 0.632 2.763" Properties=species:S:1:pos:R:3 pbc="T T T"
Cd -3.036 -1.939 2.511
Mn -5.360 -3.391 2.435
Mn -2.186 -1.420 -0.136
P -0.072 -2.149 0.094
```



No. 5
Here is a crystal of MnCdPb2 relaxed with PBEsol from the Alexandria database. Energies are from SCAN.

Summary:
DOS at the Fermi energy	0.4252	states/eV per atom
energy relative to the elements	0.102	eV per atom
energy	-49.956	eV per atom
SG	No. 44

```
4
Lattice="3.216 0.000 0.000 0.000 5.125 0.000 -1.608 -2.562 5.658" Properties=species:S:1:pos:R:3 pbc="T T T"
Mn 0.000 2.562 2.759
Pb 1.608 0.000 2.862
Pb 1.608 2.562 5.238
Cd 1.608 2.562 0.457
```



No. 6
Here is a crystal of MnCdPb2 relaxed with PBEsol from the Alexandria database. Energies are from SCAN.

Summary:
DOS at the Fermi energy	0.4432	states/eV per atom
energy relative to the elements	0.133	eV per atom
energy	-49.925	eV per atom
SG	No. 65

```
4
Lattice="3.357 0.000 0.000 0.000 5.287 0.160 0.000 -0.887 5.214" Properties=species:S:1:pos:R:3 pbc="T T T"
Pb 0.000 -0.443 2.607
Pb 0.000 2.643 0.080
Mn 1.678 2.200 2.687
Cd 1.678 0.000 0.000
```



No. 7
Here is a crystal of TaMn2CdPd relaxed with PBEsol from the Alexandria database. Energies are from SCAN.

Summary:
DOS at the Fermi energy	0.5712	states/eV per atom
energy relative to the elements	1.245	eV per atom
energy	-32.011	eV per atom
SG	No. 123

```
5
Lattice="-1.320 3.655 2.109 -3.689 -2.072 1.281 2.416 -1.626 4.331" Properties=species:S:1:pos:R:3 pbc="T T T"
Ta 0.000 0.000 0.000
Mn -1.845 -1.036 0.640
Mn -0.660 1.827 1.054
Pd -1.297 -0.021 3.860
Cd 1.208 -0.813 2.165
```



No. 8
Here is a crystal of Mn2CdPt2 relaxed with PBEsol from the Alexandria database. Energies are from SCAN.

Summary:
DOS at the Fermi energy	0.6866	states/eV per atom
energy relative to the elements	0.111	eV per atom
energy	-41.351	eV per atom
SG	No. 139

```
5
Lattice="3.289 0.000 0.000 0.000 3.289 0.000 -1.645 -1.645 6.790" Properties=species:S:1:pos:R:3 pbc="T T T"
Mn 0.000 1.645 3.395
Mn 1.645 0.000 3.395
Cd 0.000 0.000 0.000
Pt 1.645 1.645 1.480
Pt 0.000 0.000 5.309
```



No. 9
Here is a crystal of MnCdRe2 relaxed with PBEsol from the Alexandria database. Energies are from SCAN.

Summary:
DOS at the Fermi energy	0.5696	states/eV per atom
energy relative to the elements	0.407	eV per atom
energy	-47.309	eV per atom
SG	No. 123

```
4
Lattice="-2.041 2.235 -2.252 0.608 -2.353 -2.886 -3.448 -2.131 1.010" Properties=species:S:1:pos:R:3 pbc="T T T"
Re 0.304 -1.176 -1.443
Re -1.021 1.118 -1.126
Cd -2.440 -1.124 -2.064
Mn -1.724 -1.065 0.505
```



No. 10
Here is a crystal of Mn2CdRe relaxed with PBEsol from the Alexandria database. Energies are from SCAN.

Summary:
DOS at the Fermi energy	0.7592	states/eV per atom
energy relative to the elements	0.336	eV per atom
energy	-34.169	eV per atom
SG	No. 99

```
4
Lattice="2.897 0.000 0.000 0.000 2.898 0.000 0.000 0.000 6.551" Properties=species:S:1:pos:R:3 pbc="T T T"
Re 0.000 0.000 2.926
Mn 1.448 1.449 1.415
Mn 0.000 0.000 0.449
Cd 1.448 1.449 5.036
```



No. 11
Here is a crystal of Mn2CdRe relaxed with PBEsol from the Alexandria database. Energies are from SCAN.

Summary:
DOS at the Fermi energy	0.7320	states/eV per atom
energy relative to the elements	0.322	eV per atom
energy	-34.183	eV per atom
SG	No. 10

```
4
Lattice="2.649 0.000 0.000 0.000 4.777 -0.037 0.000 -2.028 4.559" Properties=species:S:1:pos:R:3 pbc="T T T"
Mn 1.325 -1.014 2.280
Mn 0.000 0.000 0.000
Cd 0.000 1.374 2.261
Re 1.325 2.388 -0.018
```



No. 12
Here is a crystal of Mn2CdRe relaxed with PBEsol from the Alexandria database. Energies are from SCAN.

Summary:
DOS at the Fermi energy	0.6410	states/eV per atom
energy relative to the elements	0.050	eV per atom
energy	-34.455	eV per atom
SG	No. 123

```
4
Lattice="-2.739 -0.321 0.670 0.725 -0.588 2.680 -0.409 6.858 1.614" Properties=species:S:1:pos:R:3 pbc="T T T"
Mn -0.090 1.517 0.357
Mn -0.319 5.341 1.257
Re -1.007 -0.454 1.675
Cd -1.211 2.974 2.482
```



No. 13
Here is a crystal of Mn2CdRe relaxed with PBEsol from the Alexandria database. Energies are from SCAN.

Summary:
DOS at the Fermi energy	0.5164	states/eV per atom
energy relative to the elements	0.179	eV per atom
energy	-34.327	eV per atom
SG	No. 166

```
4
Lattice="-0.178 -1.348 2.355 2.062 0.078 1.770 -2.876 6.627 5.148" Properties=species:S:1:pos:R:3 pbc="T T T"
Mn -0.675 3.880 6.882
Mn -0.316 1.476 2.392
Re -0.496 2.678 4.637
Cd 0.000 0.000 0.000
```



No. 14
Here is a crystal of MnCdRe2 relaxed with PBEsol from the Alexandria database. Energies are from SCAN.

Summary:
DOS at the Fermi energy	0.6862	states/eV per atom
energy relative to the elements	0.364	eV per atom
energy	-47.352	eV per atom
SG	No. 216

```
4
Lattice="-1.518 -0.635 4.081 1.252 -3.545 2.287 2.700 0.445 3.446" Properties=species:S:1:pos:R:3 pbc="T T T"
Cd 1.217 -1.867 4.907
Re 0.609 -0.934 2.453
Re 0.000 0.000 0.000
Mn 1.826 -2.801 7.360
```



No. 15
Here is a crystal of MnCdRe relaxed with PBEsol from the Alexandria database. Energies are from SCAN.

Summary:
DOS at the Fermi energy	0.1685	states/eV per atom
energy relative to the elements	0.692	eV per atom
energy	-39.230	eV per atom
SG	No. 216

```
3
Lattice="4.132 0.000 0.000 2.066 3.578 0.000 2.066 1.193 3.374" Properties=species:S:1:pos:R:3 pbc="T T T"
Cd 4.132 2.385 1.687
Re 0.000 0.000 0.000
Mn 6.198 3.578 2.530
```



No. 16
Here is a crystal of MnCdRh2 relaxed with PBEsol from the Alexandria database. Energies are from SCAN.

Summary:
DOS at the Fermi energy	0.8676	states/eV per atom
energy relative to the elements	-0.299	eV per atom
energy	-29.352	eV per atom
SG	No. 123

```
4
Lattice="-0.070 2.704 -1.176 -2.576 0.517 1.340 3.238 2.391 5.303" Properties=species:S:1:pos:R:3 pbc="T T T"
Rh 0.923 0.681 1.512
Rh 2.315 1.709 3.791
Mn 0.296 2.805 2.733
Cd -1.323 1.610 0.082
```



No. 17
Here is a crystal of Mn2CdRh relaxed with PBEsol from the Alexandria database. Energies are from SCAN.

Summary:
DOS at the Fermi energy	0.5596	states/eV per atom
energy relative to the elements	-0.221	eV per atom
energy	-25.395	eV per atom
SG	No. 119

```
4
Lattice="3.916 0.000 0.000 0.000 3.916 0.000 -1.958 -1.958 3.878" Properties=species:S:1:pos:R:3 pbc="T T T"
Mn 0.000 0.000 0.000
Mn 1.958 0.000 1.939
Rh 1.958 1.958 0.000
Cd 0.000 1.958 1.939
```



No. 18
Here is a crystal of MnCdRh2 relaxed with PBEsol from the Alexandria database. Energies are from SCAN.

Summary:
DOS at the Fermi energy	0.6811	states/eV per atom
energy relative to the elements	0.028	eV per atom
energy	-29.025	eV per atom
SG	No. 160

```
4
Lattice="-0.389 -0.891 2.544 -0.682 -2.599 0.443 8.214 -3.317 1.551" Properties=species:S:1:pos:R:3 pbc="T T T"
Cd 3.545 -3.397 2.267
Mn 1.631 -1.663 1.124
Rh -0.989 -3.510 2.992
Rh 5.458 -5.130 3.410
```



No. 19
Here is a crystal of MnCd3Rh relaxed with PBEsol from the Alexandria database. Energies are from SCAN.

Summary:
DOS at the Fermi energy	1.1416	states/eV per atom
energy relative to the elements	1.054	eV per atom
energy	-27.600	eV per atom
SG	No. 221

```
5
Lattice="-4.172 2.354 0.600 -0.195 -1.514 4.581 2.422 3.934 1.403" Properties=species:S:1:pos:R:3 pbc="T T T"
Cd -0.098 -0.757 2.290
Cd 1.211 1.967 0.702
Cd -2.086 1.177 0.300
Rh -0.973 2.387 3.292
Mn 0.000 0.000 0.000
```



No. 20
Here is a crystal of MnCdRh2 relaxed with PBEsol from the Alexandria database. Energies are from SCAN.

Summary:
DOS at the Fermi energy	0.5135	states/eV per atom
energy relative to the elements	-0.165	eV per atom
energy	-29.218	eV per atom
SG	No. 119

```
4
Lattice="3.817 0.000 0.000 0.000 3.817 0.000 -1.908 -1.908 3.978" Properties=species:S:1:pos:R:3 pbc="T T T"
Mn 0.000 1.908 1.989
Rh 1.908 0.000 1.989
Rh 0.000 0.000 0.000
Cd 1.908 1.908 0.000
```



No. 21
Here is a crystal of Mn2CdRu relaxed with PBEsol from the Alexandria database. Energies are from SCAN.

Summary:
DOS at the Fermi energy	1.0177	states/eV per atom
energy relative to the elements	0.181	eV per atom
energy	-25.257	eV per atom
SG	No. 44

```
4
Lattice="2.849 0.000 0.000 0.000 4.402 0.000 -1.425 -2.201 4.388" Properties=species:S:1:pos:R:3 pbc="T T T"
Cd 0.000 2.201 2.222
Mn 0.000 0.000 0.174
Mn 1.425 0.000 2.184
Ru 0.000 0.000 4.196
```



No. 22
Here is a crystal of Mn2CdRu relaxed with PBEsol from the Alexandria database. Energies are from SCAN.

Summary:
DOS at the Fermi energy	0.9886	states/eV per atom
energy relative to the elements	0.187	eV per atom
energy	-25.251	eV per atom
SG	No. 160

```
4
Lattice="-1.569 -2.170 -0.166 1.100 -2.438 -0.211 -0.086 -2.251 8.530" Properties=species:S:1:pos:R:3 pbc="T T T"
Mn -0.088 -2.230 8.271
Mn -0.416 -5.148 6.164
Ru -0.276 -3.450 4.331
Cd -0.139 -1.711 1.994
```



No. 23
Here is a crystal of MnCdRu3 relaxed with PBEsol from the Alexandria database. Energies are from SCAN.

Summary:
DOS at the Fermi energy	0.9289	states/eV per atom
energy relative to the elements	2.265	eV per atom
energy	-28.365	eV per atom
SG	No. 221

```
5
Lattice="4.769 0.000 0.000 0.000 4.769 0.000 0.000 0.000 4.769" Properties=species:S:1:pos:R:3 pbc="T T T"
Mn 2.385 2.385 2.385
Cd 0.000 0.000 0.000
Ru 2.385 0.000 0.000
Ru 0.000 2.385 0.000
Ru 0.000 0.000 2.385
```



No. 24
Here is a crystal of Mn4CdS5 relaxed with PBEsol from the Alexandria database. Energies are from SCAN.

Summary:
DOS at the Fermi energy	0.3255	states/eV per atom
E_form (uncorrected)	-902.1	meV per atom
energy	-16.060	eV per atom
SG	No. 166

```
10
Lattice="3.544 0.000 0.000 1.772 3.069 0.000 1.772 1.023 14.726" Properties=species:S:1:pos:R:3 pbc="T T T"
S 1.772 1.023 1.754
S 5.316 3.069 4.581
S 3.544 2.046 7.363
S 1.772 1.023 10.144
S 5.316 3.069 12.971
Mn 3.544 2.046 11.558
Mn 5.316 3.069 8.784
Mn 1.772 1.023 5.941
Mn 3.544 2.046 3.168
Cd 0.000 0.000 0.000
```



No. 25
Here is a crystal of MnCd4S5 relaxed with PBEsol from the Alexandria database. Energies are from SCAN.

Summary:
E_form (uncorrected)	-825.0	meV per atom
energy	-19.630	eV per atom
SG	No. 160

```
10
Lattice="-1.633 0.068 -3.740 -0.260 -3.444 -2.176 -15.612 -4.092 4.515" Properties=species:S:1:pos:R:3 pbc="T T T"
Mn -13.214 -4.617 1.231
S -13.278 -5.630 -0.986
S -15.349 -5.040 2.156
S -4.070 -3.807 -4.974
S -6.504 -3.288 -1.675
S -8.938 -2.770 1.625
Cd -10.998 -5.179 -1.974
Cd -6.665 -2.320 0.641
Cd -15.517 -4.073 4.474
Cd -4.232 -2.838 -2.659
```



No. 26
Here is a crystal of MnCd2Sb relaxed with PBEsol from the Alexandria database. Energies are from SCAN.

Summary:
DOS at the Fermi energy	0.5194	states/eV per atom
E_form (uncorrected)	66.0	meV per atom
energy	-29.020	eV per atom
SG	No. 139

```
4
Lattice="-2.667 -2.743 -1.291 1.998 -2.883 1.998 -2.430 3.639 3.602" Properties=species:S:1:pos:R:3 pbc="T T T"
Mn -0.334 -2.813 0.354
Sb 0.000 0.000 0.000
Cd -2.715 -0.958 1.333
Cd -0.383 -1.028 2.977
```



No. 27
Here is a crystal of MnCd2Sb relaxed with PBEsol from the Alexandria database. Energies are from SCAN.

Summary:
DOS at the Fermi energy	0.3664	states/eV per atom
E_form (uncorrected)	59.5	meV per atom
energy	-29.027	eV per atom
SG	No. 12

```
4
Lattice="3.151 0.007 0.000 -0.309 4.751 0.000 -1.421 -2.379 5.490" Properties=species:S:1:pos:R:3 pbc="T T T"
Cd -0.711 -1.190 2.745
Cd 0.711 1.190 2.745
Sb 0.000 0.000 0.000
Mn 1.421 2.379 0.000
```



No. 28
Here is a crystal of MnCd2SbTe relaxed with PBEsol from the Alexandria database. Energies are from SCAN.

Summary:
DOS at the Fermi energy	0.3799	states/eV per atom
E_form (uncorrected)	528.9	meV per atom
energy	-30.190	eV per atom
SG	No. 123

```
5
Lattice="-0.998 -3.112 3.687 -1.208 -3.916 -3.632 5.225 -1.640 0.029" Properties=species:S:1:pos:R:3 pbc="T T T"
Cd 2.612 -0.820 0.015
Cd -0.604 -1.958 -1.816
Sb 1.509 -4.334 0.042
Te 0.000 0.000 0.000
Mn -0.499 -1.556 1.844
```



No. 29
Here is a crystal of MnZnCdSb2 relaxed with PBEsol from the Alexandria database. Energies are from SCAN.

Summary:
DOS at the Fermi energy	0.4315	states/eV per atom
E_form (uncorrected)	387.0	meV per atom
energy	-26.954	eV per atom
SG	No. 123

```
5
Lattice="4.762 0.000 0.000 0.000 4.842 0.000 0.000 0.000 4.842" Properties=species:S:1:pos:R:3 pbc="T T T"
Sb 0.000 0.000 2.421
Sb 0.000 2.421 0.000
Mn 0.000 0.000 0.000
Cd 2.381 2.421 2.421
Zn 2.381 0.000 0.000
```



No. 30
Here is a crystal of ScMnCd2 relaxed with PBEsol from the Alexandria database. Energies are from SCAN.

Summary:
DOS at the Fermi energy	0.5868	states/eV per atom
energy relative to the elements	-0.018	eV per atom
energy	-23.348	eV per atom
SG	No. 160

```
4
Lattice="3.051 0.000 0.000 1.526 2.643 0.000 1.526 0.881 9.397" Properties=species:S:1:pos:R:3 pbc="T T T"
Sc 1.526 0.881 2.564
Mn 3.051 1.762 4.645
Cd 4.577 2.643 0.014
Cd 4.577 2.643 6.873
```